[1]
PBE TbErTmZn, relaxed; calculated volume = 26.713 A^3/atom; DFT total energy = -0.2867 Ry per atom; ΔH_f (0 K) = -0.1657 eV/atom
1.0
3.5313 0.0000 0.0000
0.0000 3.5313 0.0000
0.0000 0.0000 8.5688
Tb Er Tm Zn
1 1 1 1
Direct
0.0000 0.0000 0.0000 Tb
0.5000 0.5000 0.7044 Er
0.5000 0.5000 0.2944 Tm
0.0000 0.0000 0.4976 Zn


[2]
PBE Tb2Er5TmZr, relaxed; calculated volume = 30.511 A^3/atom; DFT total energy = -0.3556 Ry per atom; ΔH_f (0 K) = 0.1725 eV/atom
1.0
2.7259 -10.1285 0.0000
2.7259 10.1285 0.0000
0.0000 0.0000 9.9458
Tb Er Tm Zr
4 10 2 2
Direct
0.1096 0.8904 0.5000 Tb
0.1207 0.8793 0.9230 Tb
0.8793 0.1207 0.4230 Tb
0.8904 0.1096 0.0000 Tb
0.0159 0.9841 0.2016 Er
0.2650 0.7350 0.5263 Er
0.3006 0.6994 0.8888 Er
0.3627 0.6373 0.2115 Er
0.4836 0.5164 0.9271 Er
0.5164 0.4836 0.4271 Er
0.6373 0.3627 0.7115 Er
0.6994 0.3006 0.3888 Er
0.7350 0.2650 0.0263 Er
0.9841 0.0159 0.7016 Er
0.4026 0.5974 0.6373 Tm
0.5974 0.4026 0.1373 Tm
0.1877 0.8123 0.2105 Zr
0.8123 0.1877 0.7105 Zr


[3]
PBE TbEr5Tm2Zr, relaxed; calculated volume = 30.554 A^3/atom; DFT total energy = -0.3543 Ry per atom; ΔH_f (0 K) = 0.1730 eV/atom
1.0
2.7785 -10.7158 0.0000
2.7785 10.7158 0.0000
0.0000 0.0000 9.2358
Tb Er Tm Zr
2 10 4 2
Direct
0.0990 0.9010 0.5000 Tb
0.9010 0.0990 0.0000 Tb
0.0294 0.9706 0.8215 Er
0.1052 0.8948 0.1190 Er
0.1961 0.8039 0.7862 Er
0.2317 0.7683 0.4012 Er
0.4858 0.5142 0.0857 Er
0.5142 0.4858 0.5857 Er
0.7683 0.2317 0.9012 Er
0.8039 0.1961 0.2862 Er
0.8948 0.1052 0.6190 Er
0.9706 0.0294 0.3215 Er
0.3657 0.6343 0.7870 Tm
0.3853 0.6147 0.3939 Tm
0.6147 0.3853 0.8939 Tm
0.6343 0.3657 0.2870 Tm
0.3158 0.6842 0.0923 Zr
0.6842 0.3158 0.5923 Zr


[4]
PBE TbErTmZr, relaxed; calculated volume = 28.806 A^3/atom; DFT total energy = -0.3930 Ry per atom; ΔH_f (0 K) = 0.2065 eV/atom
1.0
7.7244 0.0000 0.0000
0.0000 7.7244 0.0000
0.0000 0.0000 7.7244
Tb Er Tm Zr
4 4 4 4
Direct
0.0000 0.0000 0.0000 Tb
0.0000 0.5000 0.5000 Tb
0.5000 0.0000 0.5000 Tb
0.5000 0.5000 0.0000 Tb
0.2500 0.2500 0.7500 Er
0.2500 0.7500 0.2500 Er
0.7500 0.2500 0.2500 Er
0.7500 0.7500 0.7500 Er
0.2500 0.2500 0.2500 Tm
0.2500 0.7500 0.7500 Tm
0.7500 0.2500 0.7500 Tm
0.7500 0.7500 0.2500 Tm
0.0000 0.0000 0.5000 Zr
0.0000 0.5000 0.0000 Zr
0.5000 0.0000 0.0000 Zr
0.5000 0.5000 0.5000 Zr


[5]
PBE Tb2ErTm5Zr, relaxed; calculated volume = 30.249 A^3/atom; DFT total energy = -0.3524 Ry per atom; ΔH_f (0 K) = 0.1749 eV/atom
1.0
2.7248 -10.0741 0.0000
2.7248 10.0741 0.0000
0.0000 0.0000 9.9177
Tb Er Tm Zr
4 2 10 2
Direct
0.1108 0.8892 0.5000 Tb
0.1205 0.8795 0.0783 Tb
0.8795 0.1205 0.5783 Tb
0.8892 0.1108 0.0000 Tb
0.4037 0.5963 0.3628 Er
0.5963 0.4037 0.8628 Er
0.0158 0.9842 0.7973 Tm
0.2672 0.7328 0.4784 Tm
0.2997 0.7003 0.1111 Tm
0.3663 0.6337 0.7889 Tm
0.4823 0.5177 0.0726 Tm
0.5177 0.4823 0.5726 Tm
0.6337 0.3663 0.2889 Tm
0.7003 0.2997 0.6111 Tm
0.7328 0.2672 0.9784 Tm
0.9842 0.0158 0.2973 Tm
0.1899 0.8101 0.7925 Zr
0.8101 0.1899 0.2925 Zr


[6]
PBE Tb2Er6Tm3Zr, relaxed; calculated volume = 29.758 A^3/atom; DFT total energy = -0.3556 Ry per atom; ΔH_f (0 K) = 0.0448 eV/atom
1.0
3.0159 -5.2138 0.0000
3.0159 5.2138 0.0000
-1.9967 0.0000 11.3547
Tb Er Tm Zr
2 6 3 1
Direct
0.1669 0.8331 0.0000 Tb
0.8331 0.1669 0.0000 Tb
0.0905 0.4176 0.7534 Er
0.2554 0.2554 0.2461 Er
0.4176 0.0905 0.7534 Er
0.5824 0.9095 0.2466 Er
0.7446 0.7446 0.7539 Er
0.9095 0.5824 0.2466 Er
0.0000 0.0000 0.5000 Tm
0.3335 0.6665 0.5000 Tm
0.6665 0.3335 0.5000 Tm
0.5000 0.5000 0.0000 Zr


[7]
PBE Tb3Er2Tm6Zr, relaxed; calculated volume = 29.730 A^3/atom; DFT total energy = -0.3546 Ry per atom; ΔH_f (0 K) = 0.0409 eV/atom
1.0
3.0167 -5.2175 0.0000
3.0167 5.2175 0.0000
-2.0027 0.0000 11.3330
Tb Er Tm Zr
3 2 6 1
Direct
0.0000 0.0000 0.0000 Tb
0.3335 0.6665 0.0000 Tb
0.6665 0.3335 0.0000 Tb
0.1668 0.8332 0.5000 Er
0.8332 0.1668 0.5000 Er
0.0923 0.4191 0.2562 Tm
0.2544 0.2544 0.7434 Tm
0.4191 0.0923 0.2562 Tm
0.5809 0.9077 0.7438 Tm
0.7456 0.7456 0.2566 Tm
0.9077 0.5809 0.7438 Tm
0.5000 0.5000 0.5000 Zr


[8]
PBE TbEr2Tm5Zr, relaxed; calculated volume = 30.371 A^3/atom; DFT total energy = -0.3519 Ry per atom; ΔH_f (0 K) = 0.1742 eV/atom
1.0
2.7712 -10.6688 0.0000
2.7712 10.6688 0.0000
0.0000 0.0000 9.2454
Tb Er Tm Zr
2 4 10 2
Direct
0.0989 0.9011 0.5000 Tb
0.9011 0.0989 0.0000 Tb
0.3655 0.6345 0.7867 Er
0.3857 0.6143 0.3933 Er
0.6143 0.3857 0.8933 Er
0.6345 0.3655 0.2867 Er
0.0289 0.9711 0.8202 Tm
0.1058 0.8942 0.1177 Tm
0.1957 0.8043 0.7859 Tm
0.2322 0.7678 0.4027 Tm
0.4857 0.5143 0.0858 Tm
0.5143 0.4857 0.5858 Tm
0.7678 0.2322 0.9027 Tm
0.8043 0.1957 0.2859 Tm
0.8942 0.1058 0.6177 Tm
0.9711 0.0289 0.3202 Tm
0.3151 0.6849 0.0923 Zr
0.6849 0.3151 0.5923 Zr